{"formula": "SmNpVO6", "functional": "PBE+U", "state": "relaxed", "lattice": [[5.6640, 0.0000, 0.0000], [-2.8320, 4.9052, 0.0000], [0.0000, 0.0000, 8.7376]], "species": ["O", "O", "O", "O", "O", "O", "O", "O", "O", "O", "O", "O", "V", "V", "Np", "Np", "Sm", "Sm"], "fractional_positions": [[0.0363, 0.3402, 0.6236], [0.9637, 0.3038, 0.1236], [0.3402, 0.3038, 0.3764], [0.9637, 0.6598, 0.3764], [0.6962, 0.0363, 0.3764], [0.3038, 0.9637, 0.6236], [0.6962, 0.6598, 0.1236], [0.0363, 0.6962, 0.8764], [0.3038, 0.3402, 0.8764], [0.6598, 0.9637, 0.8764], [0.3402, 0.0363, 0.1236], [0.6598, 0.6962, 0.6236], [0.0000, 0.0000, 0.5000], [0.0000, 0.0000, 0.0000], [0.6667, 0.3333, 0.2500], [0.3333, 0.6667, 0.7500], [0.6667, 0.3333, 0.7500], [0.3333, 0.6667, 0.2500]], "dft_energy_ev_per_atom": -8.6874}